! PBE with a Hubbard U CsYMo2O8, relaxed; values from VASP
&SYSTEM
  ibrav = 0, nat = 12, ntyp = 4
/
ATOMIC_SPECIES
Cs 132.91 Cs.upf
Y 88.91 Y.upf
Mo 95.94 Mo.upf
O 16.00 O.upf
ATOMIC_POSITIONS crystal
Cs 0.0000 0.0000 0.0000
Y 0.5000 0.5000 0.5000
Mo 0.2383 0.2383 0.2383
Mo 0.7617 0.7617 0.7617
O 0.1030 0.7281 0.5185
O 0.2719 0.4815 0.8970
O 0.3051 0.3051 0.3051
O 0.4815 0.8970 0.2719
O 0.5185 0.1030 0.7281
O 0.6949 0.6949 0.6949
O 0.7281 0.5185 0.1030
O 0.8970 0.2719 0.4815
CELL_PARAMETERS angstrom
2.9015 1.6752 8.7778
-2.9015 1.6752 8.7778
0.0000 -3.3503 8.7778
! N(E_F)   0.000 states/eV/f.u.
! Raw total energy   -7.26 eV/atom



! PBE with a Hubbard U VCr2AsO6, relaxed; values from VASP
&SYSTEM
  ibrav = 0, nat = 10, ntyp = 4
/
ATOMIC_SPECIES
V 50.94 V.upf
Cr 52.00 Cr.upf
As 74.92 As.upf
O 16.00 O.upf
ATOMIC_POSITIONS crystal
V 0.0000 0.0000 0.0000
Cr 0.3124 0.3817 0.9400
Cr 0.7954 0.4158 0.3861
As 0.5334 0.9353 0.5768
O 0.0495 0.5778 0.1546
O 0.2528 0.8354 0.7449
O 0.3416 0.9448 0.1512
O 0.6119 0.1822 0.7172
O 0.7094 0.2084 0.1796
O 0.9034 0.5046 0.7095
CELL_PARAMETERS angstrom
5.0502 0.0000 0.0000
2.5167 4.5182 0.0000
0.0507 2.6655 5.0895
! Raw total energy   -7.32 eV/atom



Number 1: magnetization 0.00 μB per cell. Number 2: magnetization 8.00 μB per cell.